A plane-wave DFT calculation with PBE-GGA was carried out for a relaxed Cd2SbBr crystal.

Geometry as CIF:
```
data_Cd2SbBr
_space_group_name_H-M_alt 'I -4 2 d'
_space_group_IT_number 122
_space_group_name_Hall 'I -4 2bw'
_cell_length_a 6.494
_cell_length_b 6.494
_cell_length_c 13.793
_cell_angle_alpha 90.00
_cell_angle_beta 90.00
_cell_angle_gamma 90.00
loop_
_atom_site_label
_atom_site_fract_x
_atom_site_fract_y
_atom_site_fract_z
Cd1 0.219 0.250 0.125
Sb1 0.000 0.000 0.000
Br1 0.000 0.000 0.500
```

Computed properties:
E_form (uncorrected): -0.3259 eV/atom
Excess energy over the best structure of this formula in the dataset: 0 meV/atom

***

A plane-wave DFT calculation with PBE-GGA was carried out for a relaxed LiRuN3 crystal.

Geometry as CIF:
```
data_LiRuN3
_space_group_name_H-M_alt 'P m -3 m'
_space_group_IT_number 221
_space_group_name_Hall '-P 4 2 3'
_cell_length_a 3.837
_cell_length_b 3.837
_cell_length_c 3.837
_cell_angle_alpha 90.00
_cell_angle_beta 90.00
_cell_angle_gamma 90.00
loop_
_atom_site_label
_atom_site_fract_x
_atom_site_fract_y
_atom_site_fract_z
Li1 0.000 0.000 0.000
Ru1 0.500 0.500 0.500
N1 0.000 0.500 0.500
```

Computed properties:
E_form (uncorrected): 0.9174 eV/atom

***

A plane-wave DFT calculation with PBE-GGA was carried out for a relaxed LiTl3S2 crystal.

Geometry as CIF:
```
data_LiTl3S2
_space_group_name_H-M_alt 'C 1 2/m 1'
_space_group_IT_number 12
_space_group_name_Hall '-C 2y'
_cell_length_a 17.433
_cell_length_b 4.072
_cell_length_c 11.600
_cell_angle_alpha 90.00
_cell_angle_beta 123.35
_cell_angle_gamma 90.00
loop_
_atom_site_label
_atom_site_fract_x
_atom_site_fract_y
_atom_site_fract_z
Li1 0.072 0.000 0.151
Tl1 0.051 0.500 0.748
Tl2 0.152 0.000 0.501
Tl3 0.228 0.500 0.136
S1 0.096 0.000 0.957
S2 0.144 0.500 0.308
```

Computed properties:
E_form (uncorrected): -0.5652 eV/atom

***

A plane-wave DFT calculation with PBE-GGA was carried out for a relaxed Sm3Ho5In2 crystal.

Geometry as CIF:
```
data_Sm3Ho5In2
_space_group_name_H-M_alt 'C 1 2/c 1'
_space_group_IT_number 15
_space_group_name_Hall '-C 2yc'
_cell_length_a 12.006
_cell_length_b 15.652
_cell_length_c 6.507
_cell_angle_alpha 90.00
_cell_angle_beta 95.29
_cell_angle_gamma 90.00
loop_
_atom_site_label
_atom_site_fract_x
_atom_site_fract_y
_atom_site_fract_z
Sm1 0.000 0.033 0.250
Sm2 0.118 0.238 0.090
Ho1 0.000 0.469 0.250
Ho2 0.126 0.342 0.610
Ho3 0.241 0.457 0.016
In1 0.136 0.144 0.606
```

Computed properties:
Formation energy from the elements: -14.49 kJ per mole of atoms